Record 1
Computed, not measured: a geometry-optimized PmAlS structure at the PBE level of DFT.

The calculation puts the raw formation energy at -1097 meV per atom. Its total energy is -5.304 eV per atom. The calculated density is 4.50 g/cm³. The calculation puts the total magnetic moment at 0.000 μB per atom.

a = 4.492 Å, b = 4.492 Å, c = 8.998 Å
α = 75.55°, β = 75.55°, γ = 60.00°
Sites, in units of the cell vectors:
S (0.706, 0.706, 0.881)
S (0.294, 0.294, 0.119)
Pm (0.592, 0.592, 0.224)
Pm (0.408, 0.408, 0.776)
Al (0.835, 0.835, 0.494)
Al (0.165, 0.165, 0.506)



Record 2
Computed, not measured: a geometry-optimized Pm6AlS5 structure at the PBE level of DFT.

The calculation puts the raw formation energy at -1720 meV per atom. Its total energy is -6.127 eV per atom. The calculated density is 6.03 g/cm³. The calculation puts the total magnetic moment at 0.000 μB per atom.

a = 7.085 Å, b = 7.085 Å, c = 7.084 Å
α = 99.59°, β = 99.59°, γ = 119.77°
Sites, in units of the cell vectors:
S (0.500, 0.500, 0.500)
S (0.667, 0.333, 0.000)
S (0.333, 0.667, 0.000)
S (0.835, 0.165, 0.500)
S (0.165, 0.835, 0.500)
Pm (0.577, 0.916, 0.747)
Pm (0.423, 0.084, 0.253)
Pm (0.084, 0.423, 0.253)
Pm (0.745, 0.745, 0.251)
Pm (0.916, 0.577, 0.747)
Pm (0.255, 0.255, 0.749)
Al (0.000, 0.000, 0.000)



Record 3
Computed, not measured: a geometry-optimized Pm2Al2S5 structure at the PBE level of DFT.

The calculation puts the raw formation energy at -1345 meV per atom. Its total energy is -5.525 eV per atom. The calculated density is 4.24 g/cm³. The calculation puts the total magnetic moment at 0.000 μB per atom.

a = 4.725 Å, b = 7.086 Å, c = 7.111 Å
α = 116.53°, β = 90.00°, γ = 109.47°
Sites, in units of the cell vectors:
Al (0.149, 0.299, 0.873)
Al (0.851, 0.701, 0.127)
S (0.644, 0.287, 0.917)
S (0.147, 0.294, 0.544)
S (0.356, 0.713, 0.083)
S (0.853, 0.706, 0.456)
S (0.000, 0.000, 0.000)
Pm (0.385, 0.770, 0.712)
Pm (0.615, 0.230, 0.288)



Record 4
Computed, not measured: a geometry-optimized Pm8AlS6 structure at the PBE level of DFT.

The calculation puts the raw formation energy at -1501 meV per atom. Its total energy is -5.935 eV per atom. The calculated density is 5.90 g/cm³. The calculation puts the total magnetic moment at 0.000 μB per atom.

a = 4.051 Å, b = 10.515 Å, c = 10.515 Å
α = 120.00°, β = 90.00°, γ = 90.00°
Sites, in units of the cell vectors:
S (0.251, 0.136, 0.484)
S (0.749, 0.652, 0.136)
S (0.749, 0.864, 0.516)
S (0.749, 0.484, 0.348)
S (0.251, 0.348, 0.864)
S (0.251, 0.516, 0.652)
Pm (0.250, 0.667, 0.333)
Pm (0.750, 0.333, 0.034)
Pm (0.750, 0.333, 0.667)
Pm (0.250, 0.034, 0.701)
Pm (0.250, 0.667, 0.966)
Pm (0.750, 0.966, 0.299)
Pm (0.250, 0.299, 0.333)
Pm (0.750, 0.701, 0.667)
Al (0.500, 0.000, 0.000)



Record 5
Computed, not measured: a geometry-optimized Pm2AlS4 structure at the PBE level of DFT.

The calculation puts the raw formation energy at -1614 meV per atom. Its total energy is -5.864 eV per atom. The calculated density is 4.69 g/cm³. The calculation puts the total magnetic moment at 0.000 μB per atom.

a = 6.653 Å, b = 6.518 Å, c = 7.599 Å
α = 90.00°, β = 106.81°, γ = 90.00°
Sites, in units of the cell vectors:
S (0.504, 0.996, 0.747)
S (0.931, 0.250, 0.609)
S (0.496, 0.496, 0.253)
S (0.496, 0.004, 0.253)
S (0.069, 0.750, 0.895)
S (0.504, 0.504, 0.747)
S (0.931, 0.250, 0.105)
S (0.069, 0.750, 0.391)
Al (0.746, 0.250, 0.810)
Al (0.254, 0.750, 0.190)
Pm (0.261, 0.250, 0.443)
Pm (0.275, 0.250, 0.942)
Pm (0.739, 0.750, 0.557)
Pm (0.725, 0.750, 0.058)



Record 6
Computed, not measured: a geometry-optimized Pm4AlS3 structure at the PBE level of DFT.

The calculation puts the raw formation energy at -1554 meV per atom. Its total energy is -5.945 eV per atom. The calculated density is 5.91 g/cm³. The calculation puts the total magnetic moment at 0.000 μB per atom.

a = 4.037 Å, b = 7.191 Å, c = 7.191 Å
α = 108.75°, β = 90.00°, γ = 90.00°
Sites, in units of the cell vectors:
Pm (0.000, 0.261, 0.261)
Pm (0.500, 0.253, 0.747)
Pm (0.000, 0.739, 0.739)
Pm (0.500, 0.747, 0.253)
S (0.000, 0.500, 0.000)
S (0.000, 0.000, 0.500)
S (0.500, 0.500, 0.500)
Al (0.500, 0.000, 0.000)